Entry from the Alexandria database: crystalline BeCr2W at its relaxed geometry (PBE-GGA).

D(E_F), states/eV/atom: 0.969
SG: R-3m (166)
Energy of formation, kcal/mol of atoms: 10.93

a = 8.7044 Å, b = 8.7044 Å, c = 8.7044 Å
α = 17.30°, β = 17.30°, γ = 17.30°
Closest atoms and distances in Å follow each position.
Sites, in units of the cell vectors:
Be: 0.0000 0.0000 0.0000  6 Cr 2.45, 6 Be 2.62
Cr: 0.2584 0.2584 0.2584  3 Be 2.45, 6 Cr 2.62
Cr: 0.7416 0.7416 0.7416  3 Be 2.45, 6 Cr 2.62
W: 0.5000 0.5000 0.5000  6 W 2.62, 6 Cr 2.80


Entry from the Alexandria database: crystalline BeCr2W at its relaxed geometry (PBE-GGA).

D(E_F), states/eV/atom: 0.744
SG: P2/m (10)
Energy of formation, kcal/mol of atoms: 3.97

a = 2.5421 Å, b = 4.1297 Å, c = 4.7596 Å
α = 90.00°, β = 99.65°, γ = 90.00°
Closest atoms and distances in Å follow each position.
Sites, in units of the cell vectors:
Be: 0.0000 0.0000 0.0000  4 Cr 2.49, 2 W 2.50, 2 Be 2.54
Cr: 0.2619 0.5000 0.7654  3 Cr 2.35-2.54, 2 Be 2.49, 2 W 2.55
Cr: 0.7381 0.5000 0.2346  3 Cr 2.35-2.54, 2 Be 2.49, 2 W 2.55
W: 0.5000 0.0000 0.5000  2 Be 2.50, 2 W 2.54, 4 Cr 2.55